# TlBi2Br2

TlBi2Br2 after structural relaxation (PBE, Alexandria via LeMat-Bulk).

a = 6.2080 Å, b = 6.2080 Å, c = 6.6379 Å
α = 62.12°, β = 62.12°, γ = 90.00°
Positions (direct):
Tl  0.0000  0.0000  0.0000
Br  0.7500  0.2500  0.5000
Br  0.2500  0.7500  0.5000
Bi  0.6409  0.6409  0.7182
Bi  0.3591  0.3591  0.2818

crystal system = tetragonal
formation energy (no corrections) = -42 kJ/mol of formula units
DOS(E_F) = 3.9 states/eV/f.u.